Material: BeFeW2
Method: DFT, PBE-GGA
State: relaxed

a b c (Å): 4.779 4.779 4.149
angles (deg): 64.25 64.25 39.23
Each line ends with the local moment (μB).
Sites, in units of the cell vectors:
1 Be 0.750 0.750 0.750  -0.03
2 Fe 0.250 0.250 0.250  1.51
3 W 0.000 0.000 0.000  -0.03
4 W 0.500 0.500 0.500  -0.03

Values from the calculation:
Space-group type: Immm, No. 71
Formation energy in meV/atom: 187
DFT total energy in eV/cell: -37.35



Material: CaTb2Cu3
Method: DFT, PBE-GGA
State: relaxed

a b c (Å): 3.498 3.498 10.632
angles (deg): 90.00 90.00 90.00
Sites, in units of the cell vectors:
1 Ca 0.500 0.500 0.500
2 Tb 0.500 0.500 0.835
3 Tb 0.500 0.500 0.165
4 Cu 0.000 0.000 0.000
5 Cu 0.000 0.000 0.686
6 Cu 0.000 0.000 0.314

Values from the calculation:
Space-group type: P4/mmm, No. 123
Formation energy in meV/atom: -189
DFT total energy in eV/cell: -24.68



Material: NaPmSn2Pt2
Method: DFT, PBE-GGA
State: relaxed

a b c (Å): 4.715 4.715 6.727
angles (deg): 90.00 90.00 120.00
Sites, in units of the cell vectors:
1 Na 0.000 0.000 0.000
2 Pm 0.000 0.000 0.500
3 Sn 0.333 0.667 0.793
4 Sn 0.667 0.333 0.207
5 Pt 0.333 0.667 0.238
6 Pt 0.667 0.333 0.762

Values from the calculation:
Space-group type: P-3m1, No. 164
Formation energy in meV/atom: -724
DFT total energy in eV/cell: -30.50



Material: LiMo2Ru2
Method: DFT, PBE-GGA
State: relaxed

a b c (Å): 7.627 7.627 2.774
angles (deg): 90.00 90.00 90.00
Sites, in units of the cell vectors:
1 Ru 0.147 0.647 0.500
2 Ru 0.647 0.853 0.500
3 Ru 0.853 0.353 0.500
4 Ru 0.353 0.147 0.500
5 Mo 0.352 0.852 0.000
6 Mo 0.852 0.648 0.000
7 Mo 0.648 0.148 0.000
8 Mo 0.148 0.352 0.000
9 Li 0.000 0.000 0.000
10 Li 0.500 0.500 0.000

Values from the calculation:
Space-group type: P4/mbm, No. 127
Excess energy over the best structure of this formula in the dataset in meV per atom: 0
Formation energy in meV/atom: 196
DFT total energy in eV/cell: -82.30



Material: PmNp3As4
Method: DFT, PBE-GGA
State: relaxed

a b c (Å): 5.856 5.856 5.856
angles (deg): 90.00 90.00 90.00
Each line ends with the local moment (μB).
Sites, in units of the cell vectors:
1 Np 0.000 0.500 0.500  3.76
2 Np 0.500 0.000 0.500  3.76
3 Np 0.500 0.500 0.000  3.76
4 As 0.500 0.000 0.000  -0.09
5 As 0.000 0.500 0.000  -0.09
6 As 0.000 0.000 0.500  -0.09
7 As 0.500 0.500 0.500  -0.12
8 Pm 0.000 0.000 0.000  0.03

Values from the calculation:
Space-group type: Pm-3m, No. 221
Formation energy in meV/atom: -886
DFT total energy in eV/cell: -69.26



Material: PtAu2Se
Method: DFT, PBE-GGA
State: relaxed

a b c (Å): 6.451 6.451 6.451
angles (deg): 152.86 139.07 49.80
Sites, in units of the cell vectors:
1 Au 0.037 0.037 0.000
2 Au 0.684 0.184 0.500
3 Pt 0.473 0.473 0.000
4 Se 0.306 0.806 0.500

Values from the calculation:
ΔE_f (raw) in eV per formula unit: 0.5
Space-group type: Imm2, No. 44
DFT total energy in eV/cell: -15.63



Material: Zn2Ni6H
Method: DFT, PBE-GGA
State: relaxed

a b c (Å): 5.096 5.096 5.096
angles (deg): 60.00 60.00 60.00
Each line ends with the local moment (μB).
Sites, in units of the cell vectors:
1 Zn 0.250 0.250 0.250  -0.01
2 Zn 0.750 0.750 0.750  -0.01
3 Ni 0.247 0.247 0.753  0.35
4 Ni 0.247 0.753 0.247  0.35
5 Ni 0.753 0.247 0.753  0.35
6 Ni 0.753 0.247 0.247  0.35
7 Ni 0.247 0.753 0.753  0.35
8 Ni 0.753 0.753 0.247  0.35
9 H 0.500 0.500 0.500  0.00

Values from the calculation:
Space-group type: Fm-3m, No. 225
DFT total energy in eV/cell: -41.88



Material: KBeOs2
Method: DFT, PBE-GGA
State: relaxed

a b c (Å): 5.989 5.989 5.989
angles (deg): 154.35 124.94 61.70
Sites, in units of the cell vectors:
1 Be 0.552 0.552 0.000
2 K 0.260 0.760 0.500
3 Os 0.948 0.948 0.000
4 Os 0.740 0.240 0.500

Values from the calculation:
Space-group type: Imm2, No. 44
Formation energy in meV/atom: 1257
DFT total energy in eV/cell: -22.25